Below is crystalline SrCd5Cl12 at its relaxed geometry, with properties calculated at the PBE level.

formation energy without anion corrections = -1302 meV/atom
VASP energy = -51.86 eV per formula unit

a b c (Å): 6.8905 6.8992 12.7394
angles (deg): 89.92 89.84 60.04
Last column: nearest neighbours and their distance in Å.
Fractional positions:
Sr: 0.0000 0.0000 0.0000  6 Cl 2.89
Cd: 0.5000 0.0000 0.5000  6 Cl 2.69-2.70
Cd: 0.1666 0.6668 0.5000  6 Cl 2.69-2.70
Cd: 0.8334 0.3332 0.5000  6 Cl 2.69-2.70
Cd: 0.6666 0.6668 0.0000  6 Cl 2.67
Cd: 0.3334 0.3332 0.0000  6 Cl 2.67
Cl: 0.8344 0.0000 0.3894  3 Cd 2.69-2.70
Cl: 0.1656 0.0000 0.6106  3 Cd 2.69-2.70
Cl: 0.6413 0.0000 0.8825  2 Cd 2.67, 1 Sr 2.89
Cl: 0.3587 0.0000 0.1175  2 Cd 2.67, 1 Sr 2.89
Cl: 0.3596 0.6409 0.8828  2 Cd 2.67, 1 Sr 2.89
Cl: 0.9995 0.6409 0.1172  2 Cd 2.67, 1 Sr 2.89
Cl: 0.0005 0.3591 0.8828  2 Cd 2.67, 1 Sr 2.89
Cl: 0.6404 0.3591 0.1172  2 Cd 2.67, 1 Sr 2.89
Cl: 0.5002 0.3328 0.6096  3 Cd 2.69-2.70
Cl: 0.8329 0.6673 0.6096  3 Cd 2.69-2.70
Cl: 0.1671 0.3328 0.3904  3 Cd 2.69-2.70
Cl: 0.4998 0.6673 0.3904  3 Cd 2.69-2.70

Below is crystalline UGe2Pt at its relaxed geometry, with properties calculated at the PBE level.

ΔH_f (0 K) = 0.0648 eV/atom
VASP energy = -26.30 eV per formula unit

a b c (Å): 2.9967 2.9967 10.0551
angles (deg): 81.43 81.43 60.00
Last column: nearest neighbours and their distance in Å.
Fractional positions:
Ge: 0.0986 0.0986 0.7041  3 Pt 2.66, 1 U 2.93
Ge: 0.9014 0.9014 0.2959  3 Pt 2.66, 1 U 2.93
U: 0.0000 0.0000 0.0000  2 Ge 2.93, 6 U 3.00
Pt: 0.5000 0.5000 0.5000  6 Ge 2.66

Below is crystalline Y2TmSc4 at its relaxed geometry, with properties calculated at the PBE level.

ΔH_f (0 K) = 0.1823 eV/atom
VASP energy = -41.45 eV per formula unit

a b c (Å): 5.2148 3.6116 10.6830
angles (deg): 99.73 90.00 90.00
Last column: nearest neighbours and their distance in Å.
Fractional positions:
Y: 0.5000 0.0737 0.1474  1 Y 3.10, 4 Sc 3.18-3.45
Y: 0.5000 0.9263 0.8526  1 Y 3.10, 4 Sc 3.18-3.45
Tm: 0.0000 0.5000 0.0000  8 Y 3.53, 2 Tm 3.61
Sc: 0.5000 0.6979 0.3957  2 Sc 2.84, 2 Y 3.18
Sc: 0.0000 0.8192 0.6383  6 Sc 3.19-3.43, 2 Y 3.45
Sc: 0.5000 0.3021 0.6043  2 Sc 2.84, 2 Y 3.18
Sc: 0.0000 0.1808 0.3617  6 Sc 3.19-3.43, 2 Y 3.45

Below is crystalline CsTe2S2 at its relaxed geometry, with properties calculated at the PBE level.

formation energy without anion corrections = -145 meV/atom
VASP energy = -16.12 eV per formula unit

a b c (Å): 9.6172 9.6172 3.5460
angles (deg): 90.00 90.00 90.00
Last column: nearest neighbours and their distance in Å.
Fractional positions:
Cs: 0.0000 0.0000 0.0000  2 Cs 3.55, 8 S 3.84, 4 Te 3.84
Cs: 0.5000 0.5000 0.0000  2 Cs 3.55, 8 S 3.84, 4 Te 3.84
S: 0.2436 0.7436 0.5000  2 Te 2.58
S: 0.7436 0.7564 0.5000  2 Te 2.58
S: 0.7564 0.2564 0.5000  2 Te 2.58
S: 0.2564 0.2436 0.5000  2 Te 2.58
Te: 0.3810 0.8810 0.0000  2 S 2.58
Te: 0.8810 0.6190 0.0000  2 S 2.58
Te: 0.6190 0.1190 0.0000  2 S 2.58
Te: 0.1190 0.3810 0.0000  2 S 2.58

Below is crystalline Cs3RuW at its relaxed geometry, with properties calculated at the PBE level.

ΔH_f (0 K) = 2.0033 eV/atom
VASP energy = -14.77 eV per formula unit

a b c (Å): 5.9951 5.9951 5.9951
angles (deg): 90.00 90.00 90.00
Last column: nearest neighbours and their distance in Å.
Fractional positions:
Cs: 0.0000 0.5000 0.0000  2 Ru 3.00
Cs: 0.0000 0.0000 0.5000  2 Ru 3.00
Cs: 0.5000 0.0000 0.0000  2 Ru 3.00
Ru: 0.0000 0.0000 0.0000  6 Cs 3.00
W: 0.5000 0.5000 0.5000  12 Cs 4.24

Below is crystalline Zr2Nb2Co at its relaxed geometry, with properties calculated at the PBE level.

ΔH_f (0 K) = 0.0724 eV/atom
VASP energy = -43.98 eV per formula unit

a b c (Å): 4.9722 6.2787 7.2339
angles (deg): 115.72 110.06 90.00
Last column: nearest neighbours and their distance in Å.
Fractional positions:
Zr: 0.0880 0.9353 0.1754  2 Co 2.72-2.73, 1 Zr 2.85, 3 Nb 2.88-3.01
Zr: 0.9120 0.0647 0.8246  2 Co 2.72-2.73, 1 Zr 2.85, 3 Nb 2.88-3.01
Zr: 0.4120 0.7599 0.8246  2 Co 2.72-2.73, 1 Zr 2.85, 3 Nb 2.88-3.01
Zr: 0.5880 0.2401 0.1754  2 Co 2.72-2.73, 1 Zr 2.85, 3 Nb 2.88-3.01
Nb: 0.6741 0.8081 0.3478  2 Co 2.58, 1 Zr 2.88
Nb: 0.3259 0.1919 0.6522  2 Co 2.58, 1 Zr 2.88
Nb: 0.8259 0.4603 0.6522  2 Co 2.58, 1 Zr 2.88
Nb: 0.1741 0.5397 0.3478  2 Co 2.58, 1 Zr 2.88
Co: 0.2500 0.4996 0.0000  2 Co 2.49, 4 Nb 2.58, 4 Zr 2.72-2.73
Co: 0.7500 0.5004 0.0000  2 Co 2.49, 4 Nb 2.58, 4 Zr 2.72-2.73

Below is crystalline Sr3Tl7Pd2 at its relaxed geometry, with properties calculated at the PBE level.

ΔH_f (0 K) = -0.3218 eV/atom
VASP energy = -35.86 eV per formula unit

a b c (Å): 4.5272 5.0090 15.7124
angles (deg): 98.77 90.00 90.00
Last column: nearest neighbours and their distance in Å.
Fractional positions:
Sr: 0.0000 0.8213 0.6468  4 Pd 3.58-3.65, 10 Tl 3.61-3.87
Sr: 0.0000 0.1787 0.3532  4 Pd 3.58-3.65, 10 Tl 3.61-3.87
Sr: 0.5000 0.5000 0.0000  12 Tl 3.38-3.67
Tl: 0.5000 0.9169 0.8275  2 Pd 2.93
Tl: 0.5000 0.0831 0.1725  2 Pd 2.93
Tl: 0.5000 0.7241 0.4454  1 Pd 2.72, 2 Tl 3.02-3.03
Tl: 0.5000 0.2759 0.5546  1 Pd 2.72, 2 Tl 3.02-3.03
Tl: 0.0000 0.0000 0.0000  4 Sr 3.38, 8 Tl 3.51-3.59
Tl: 0.0000 0.4196 0.8346  2 Pd 2.79
Tl: 0.0000 0.5804 0.1654  2 Pd 2.79
Pd: 0.5000 0.6294 0.2703  5 Tl 2.72-2.93
Pd: 0.5000 0.3706 0.7297  5 Tl 2.72-2.93

Below is crystalline ZnBI2O at its relaxed geometry, with properties calculated at the PBE level.

formation energy without anion corrections = 706 meV/atom
VASP energy = -12.48 eV per formula unit

a b c (Å): 5.9395 5.9395 3.5922
angles (deg): 90.00 90.00 90.00
Last column: nearest neighbours and their distance in Å.
Fractional positions:
I: 0.0000 0.5000 0.0000  2 Zn 2.97
I: 0.5000 0.0000 0.0000  2 Zn 2.97
Zn: 0.0000 0.0000 0.0000  2 O 1.80
B: 0.5000 0.5000 0.5000  8 I 3.47, 2 B 3.59
O: 0.0000 0.0000 0.5000  2 Zn 1.80